# 1
The following is a DFT calculation (PBE) of a relaxed structure of La2NdNi9.

Unit cell a=5.035 b=5.035 c=8.853 alpha=73.48 beta=73.48 gamma=60.00
Atoms (fractional coordinates):
La  0.862  0.862  0.414
La  0.138  0.138  0.586
Nd  0.000  0.000  0.000
Ni  0.668  0.668  0.997
Ni  0.332  0.332  0.003
Ni  0.500  0.500  0.500
Ni  0.421  0.421  0.240
Ni  0.919  0.421  0.240
Ni  0.421  0.919  0.240
Ni  0.579  0.579  0.760
Ni  0.579  0.081  0.760
Ni  0.081  0.579  0.760

## Properties
The value obtained for the total energy is -5.87 eV/atom. The space group is No. 166. For the formation energy, the calculation gives -0.319 eV per atom.

=====

# 2
The following is a DFT calculation (PBE) of a relaxed structure of LaNd2Ni.

Unit cell a=5.077 b=6.580 c=7.476 alpha=90.00 beta=90.00 gamma=112.72
Atoms (fractional coordinates):
La  0.964  0.928  0.250
La  0.036  0.072  0.750
Nd  0.348  0.696  0.525
Nd  0.652  0.304  0.475
Nd  0.348  0.696  0.975
Nd  0.652  0.304  0.025
Ni  0.810  0.620  0.750
Ni  0.190  0.380  0.250

## Properties
The value obtained for the total energy is -5.21 eV/atom. The space group is No. 63. For the formation energy, the calculation gives -0.153 eV per atom.

=====

# 3
The following is a DFT calculation (PBE) of a relaxed structure of La2Nd2Ni15.

Unit cell a=6.582 b=6.582 c=6.582 alpha=82.71 beta=82.71 gamma=82.71
Atoms (fractional coordinates):
La  0.360  0.360  0.360
La  0.640  0.640  0.640
Nd  0.112  0.112  0.112
Nd  0.888  0.888  0.888
Ni  0.500  0.000  0.000
Ni  0.000  0.000  0.500
Ni  0.000  0.500  0.000
Ni  0.000  0.686  0.314
Ni  0.686  0.314  0.000
Ni  0.314  0.000  0.686
Ni  0.314  0.686  0.000
Ni  0.686  0.000  0.314
Ni  0.000  0.314  0.686
Ni  0.169  0.652  0.652
Ni  0.652  0.652  0.169
Ni  0.652  0.169  0.652
Ni  0.831  0.348  0.348
Ni  0.348  0.348  0.831
Ni  0.348  0.831  0.348

## Properties
The value obtained for the total energy is -5.73 eV/atom. The space group is No. 166. For the formation energy, the calculation gives -0.148 eV per atom.